# 1
Cu3BSe4, relaxed, DFT PBE; uncorrected formation energy = -163.5 meV/atom; V = 152.3 Å³/cell; total DFT energy (no corrections) = -34.21 eV per cell; total moment = 0.00 μB per cell; symmetry = No. 121
1.0
5.343 0.000 0.000
0.000 5.343 0.000
-2.671 -2.671 5.336
Cu B Se
3 1 4
Direct
0.500 0.500 0.000
0.750 0.250 0.500
0.250 0.750 0.500
0.000 0.000 0.000
0.338 0.338 0.228
0.890 0.890 0.228
0.110 0.662 0.772
0.662 0.110 0.772

***

# 2
La2PmTh3P6, relaxed, DFT PBE; V = 310.3 Å³/cell; formation energy = -18.97 eV/f.u.; total DFT energy (no corrections) = -88.30 eV per cell; total moment = 0.00 μB per cell; symmetry = No. 12
1.0
-1.739 1.452 -6.878
-1.713 -6.419 2.882
-4.854 4.178 3.382
La Pm Th P
2 1 3 6
Direct
0.333 0.667 0.000
0.667 0.333 0.000
0.000 0.000 0.000
0.167 0.833 0.500
0.833 0.167 0.500
0.500 0.500 0.500
0.914 0.584 0.743
0.756 0.756 0.258
0.086 0.416 0.257
0.584 0.914 0.743
0.244 0.244 0.742
0.416 0.086 0.257

***

# 3
CsAsPPt4, relaxed, DFT PBE; V = 366.5 Å³/cell; formation energy = -2.90 eV/f.u.; total DFT energy (no corrections) = -75.95 eV per cell; total moment = 0.00 μB per cell; symmetry = No. 12
1.0
8.482 1.808 -0.458
4.516 7.404 -0.458
2.365 1.676 6.542
Cs As P Pt
2 2 2 8
Direct
0.876 0.876 0.498
0.124 0.124 0.502
0.273 0.273 0.815
0.727 0.727 0.185
0.614 0.614 0.768
0.386 0.386 0.232
0.411 0.411 0.525
0.589 0.589 0.475
0.109 0.521 0.082
0.537 0.537 0.157
0.479 0.891 0.918
0.521 0.109 0.082
0.463 0.463 0.843
0.891 0.479 0.918